Entry 1:
Entry from the Alexandria database: a geometry-optimized ReHgAu structure (PBE).

Calculated values
For the size of the total moment, the calculation gives 0.000 μB/cell. As for the space group: Fmm2 (42). The calculation puts the formation energy at 0.652 eV/atom.

```
ReHgAu
1.0
7.9481 -0.0691 0.0504
7.2082 2.6842 -0.1679
0.7399 -1.0471 2.5557
Hg Au Re
1 1 1
direct
0.3316 0.3316 0.6684
0.0051 0.0051 0.9949
0.6633 0.6633 0.3367
```


Entry 2:
Entry from the Alexandria database: a geometry-optimized HoHfFe structure (PBE).

Calculated values
For the size of the total moment, the calculation gives 0.000 μB/cell. As for the space group: Cmce (64). The calculation puts the formation energy at -0.003 eV/atom.

```
HoHfFe
1.0
6.1597 0.0000 0.0000
-3.0798 6.3584 0.0000
0.0000 0.0000 6.4279
Ho Hf Fe
4 4 4
direct
0.6947 0.3894 0.8990
0.3053 0.6106 0.1010
0.1947 0.3894 0.6010
0.8053 0.6106 0.3990
0.7766 0.0532 0.2500
0.7234 0.9468 0.7500
0.2234 0.9468 0.7500
0.2766 0.0532 0.2500
0.8960 0.7919 0.0346
0.3960 0.7919 0.4654
0.6040 0.2081 0.5346
0.1040 0.2081 0.9654
```


Entry 3:
Entry from the Alexandria database: a geometry-optimized Np2InTe6 structure (PBE).

Calculated values
As for the formation energy from raw total energies: -0.294 eV per atom. For the size of the total moment, the calculation gives 10.588 μB/cell. As for the space group: P4_2/mnm (136).

```
Np2InTe6
1.0
7.1115 0.0000 0.0000
0.0000 7.1115 0.0000
0.0000 0.0000 13.4231
Np In Te
4 2 12
direct
0.0000 0.0000 0.1660
0.0000 0.0000 0.8340
0.5000 0.5000 0.3340
0.5000 0.5000 0.6660
0.5000 0.5000 0.0000
0.0000 0.0000 0.5000
0.1972 0.8028 0.0000
0.7017 0.7017 0.8319
0.7983 0.2017 0.3319
0.7017 0.7017 0.1681
0.2983 0.2983 0.8319
0.2017 0.7983 0.6681
0.8028 0.1972 0.0000
0.6972 0.6972 0.5000
0.7983 0.2017 0.6681
0.2983 0.2983 0.1681
0.3028 0.3028 0.5000
0.2017 0.7983 0.3319
```


Entry 4:
Entry from the Alexandria database: a geometry-optimized MgNp2S4 structure (PBE).

Calculated values
As for the formation energy from raw total energies: -1.310 eV per atom. For the size of the total moment, the calculation gives 8.000 μB/cell. As for the space group: C2/m (12).

```
MgNp2S4
1.0
3.8938 0.0038 0.0003
1.9428 6.1758 3.2928
0.0001 0.0642 6.9199
S Np Mg
4 2 1
direct
0.1217 0.7564 0.4237
0.3680 0.2640 0.0056
0.8783 0.2436 0.5763
0.6320 0.7360 0.9944
0.2745 0.4510 0.2770
0.7255 0.5490 0.7230
0.0000 0.0000 0.0000
```


Entry 5:
Entry from the Alexandria database: a geometry-optimized LaNi2Ir structure (PBE).

Calculated values
For the size of the total moment, the calculation gives 0.518 μB/cell. As for the space group: R3m (160). The calculation puts the formation energy at 0.478 eV/atom.

```
LaNi2Ir
1.0
9.0546 -0.0215 -0.0127
8.5917 2.8580 -0.0127
8.5917 1.3810 2.5022
La Ni Ir
1 2 1
direct
0.7473 0.7473 0.7473
0.2526 0.2526 0.2526
0.9855 0.9855 0.9855
0.5146 0.5146 0.5146
```


Entry 6:
Entry from the Alexandria database: a geometry-optimized CdBPt3 structure (PBE).

Calculated values
For the size of the total moment, the calculation gives 0.000 μB/cell. As for the space group: P4mm (99). The calculation puts the formation energy at -0.259 eV/atom.

```
CdBPt3
1.0
-3.2674 0.8668 -2.2095
-0.7965 -3.9419 -0.3686
-2.6281 0.1617 3.9500
Pt Cd B
3 1 1
direct
0.5000 0.0000 0.2965
0.0000 0.5000 0.2965
0.0000 0.0000 0.7218
0.5000 0.5000 0.8013
0.0000 0.0000 0.1477
```


Entry 7:
Entry from the Alexandria database: a geometry-optimized Ta2TcAg structure (PBE).

Calculated values
For the size of the total moment, the calculation gives 0.000 μB/cell. As for the space group: Immm (71). The calculation puts the formation energy at 0.137 eV/atom.

```
Ta2TcAg
1.0
4.8818 -0.0089 0.0047
1.2986 4.7060 -0.0047
-2.9322 -2.5563 2.9495
Ag Ta Tc
1 2 1
direct
0.2500 0.7500 0.5000
0.9892 0.9892 0.0000
0.5108 0.5108 0.0000
0.7500 0.2500 0.5000
```


Entry 8:
Entry from the Alexandria database: a geometry-optimized U2SbSe structure (PBE).

Calculated values
As for the formation energy from raw total energies: -0.463 eV per atom. For the size of the total moment, the calculation gives 6.014 μB/cell. As for the space group: R3m (160).

```
U2SbSe
1.0
3.9613 0.0000 0.0000
1.9806 3.4306 0.0000
1.9806 1.1435 7.8811
U Se Sb
2 1 1
direct
0.0863 0.0863 0.7410
0.2471 0.2471 0.2587
0.4993 0.4993 0.5022
0.6673 0.6673 0.9981
```